# Rb2TlHg2

A relaxed Rb2TlHg2 crystal (PBE, Alexandria via LeMat-Bulk).

abc: 8.6351 8.6351 5.4387
angles: 90.00 90.00 90.00
Closest atoms and distances in Å follow each position.
Atoms (fractional coordinates):
Tl 0.0000 0.0000 0.0000  4 Hg 3.40
Tl 0.5000 0.5000 0.0000  4 Hg 3.40
Hg 0.3717 0.8717 0.0000  1 Hg 3.13, 2 Tl 3.40
Hg 0.6283 0.1283 0.0000  1 Hg 3.13, 2 Tl 3.40
Hg 0.1283 0.3717 0.0000  1 Hg 3.13, 2 Tl 3.40
Hg 0.8717 0.6283 0.0000  1 Hg 3.13, 2 Tl 3.40
Rb 0.1767 0.6767 0.5000  6 Hg 3.61-3.81
Rb 0.6767 0.8233 0.5000  6 Hg 3.61-3.81
Rb 0.3233 0.1767 0.5000  6 Hg 3.61-3.81
Rb 0.8233 0.3233 0.5000  6 Hg 3.61-3.81

Summary:
- V: 406 Å³ per cell
- Crystal system: tetragonal
- Electronic total energy: -11.26 eV/cell
- ΔE_f: -145 meV/atom